## TaNb2Mo (PBE-GGA)

Data for TaNb2Mo after structural relaxation.

a b c (Å): 3.0882 3.0882 26.3231
angles (deg): 90.00 90.00 120.00
Space group R-3m (No. 166, hexagonal axes)
Unique sites:
Ta  0.0000  0.0000  0.0000 (multiplicity 3)
Nb  0.0000  0.0000  0.2457 (multiplicity 6)
Mo  0.0000  0.0000  0.5000 (multiplicity 3)

Summary:
DOS(E_F) = 16.51 states/eV/cell
raw total energy = -125.59 eV/cell
distance to the lowest polymorph of the same formula = 0.333 eV/atom